{
  "formula": "Y3Cu4Si2Pb2",
  "functional": "PBE",
  "state": "relaxed",
  "lattice_angstrom": [[-2.179, 3.340, 7.323], [2.179, -3.340, 7.323], [2.179, 3.340, -7.323]],
  "species": ["Y", "Y", "Y", "Cu", "Cu", "Cu", "Cu", "Si", "Si", "Pb", "Pb"],
  "frac_coords": [[0.000, 0.000, 0.000], [0.379, 0.879, 0.500], [0.621, 0.121, 0.500], [0.041, 0.352, 0.689], [0.336, 0.648, 0.689], [0.664, 0.352, 0.311], [0.959, 0.648, 0.311], [0.320, 0.500, 0.820], [0.680, 0.500, 0.180], [0.220, 0.220, 0.000], [0.780, 0.780, 0.000]],
  "dft_energy_ev_per_atom": -5.250,
  "total_magnetization_mub_per_cell": 0.00,
  "mass_density_g_cm3": 7.7,
  "vol_a3_per_cell": 213.2
}